Entry from Alexandria: SrScP2 after structural relaxation (PBE-GGA).

Geometry as POSCAR:
```
SrScP2
1.0
-6.481 -1.732 0.030
-4.628 -4.460 1.919
-0.871 1.753 3.385
P Sc Sr
2 1 1
Cartesian
-0.903 1.326 2.801
-2.322 -0.287 1.863
-6.188 -2.691 2.180
-9.426 -3.254 4.543
```

Computed properties:
For the density of states at the Fermi level, the calculation gives 2.7 states/eV/f.u. The total magnetization comes out at 0.000 μB per atom. As for the formation energy: -0.87 eV per atom.